No. 1
{
  "formula": "Sr2FeSe",
  "functional": "PBE-GGA",
  "state": "relaxed",
  "raw_formation_energy_kj_per_mol_atoms": -41.8,
  "vol_a3_per_fu": 112.0,
  "final_energy_ev_per_atom": -4.2613,
  "cell": [[3.830, 0.000, 0.000], [0.000, 3.842, 0.000], [0.000, 0.000, 7.613]],
  "species": ["Sr", "Sr", "Fe", "Se"],
  "fractional_positions": [[0.000, 0.000, 0.239], [0.000, 0.000, 0.761], [0.500, 0.500, 0.500], [0.500, 0.500, 0.000]]
}

No. 2
{
  "formula": "SrFe2Se2",
  "functional": "PBE-GGA",
  "state": "relaxed",
  "raw_formation_energy_kj_per_mol_atoms": -54.0,
  "vol_a3_per_fu": 91.5,
  "final_energy_ev_per_atom": -5.6747,
  "cell": [[3.891, 0.000, 0.000], [0.000, 3.891, 0.000], [0.000, 0.000, 12.084]],
  "species": ["Sr", "Sr", "Fe", "Fe", "Fe", "Fe", "Se", "Se", "Se", "Se"],
  "fractional_positions": [[0.000, 0.000, 0.000], [0.500, 0.500, 0.500], [0.000, 0.500, 0.250], [0.000, 0.500, 0.750], [0.500, 0.000, 0.250], [0.500, 0.000, 0.750], [0.000, 0.000, 0.356], [0.000, 0.000, 0.644], [0.500, 0.500, 0.144], [0.500, 0.500, 0.856]]
}

No. 3
{
  "formula": "Sr2FeSe",
  "functional": "PBE-GGA",
  "state": "relaxed",
  "raw_formation_energy_kj_per_mol_atoms": -13.8,
  "vol_a3_per_fu": 133.9,
  "final_energy_ev_per_atom": -3.9706,
  "cell": [[8.163, 0.000, 0.000], [0.000, 8.163, 0.000], [0.000, 0.000, 8.038]],
  "species": ["Sr", "Sr", "Sr", "Sr", "Sr", "Sr", "Sr", "Sr", "Fe", "Fe", "Fe", "Fe", "Se", "Se", "Se", "Se"],
  "fractional_positions": [[0.238, 0.250, 0.125], [0.250, 0.738, 0.375], [0.250, 0.762, 0.875], [0.262, 0.250, 0.625], [0.738, 0.750, 0.625], [0.750, 0.238, 0.875], [0.750, 0.262, 0.375], [0.762, 0.750, 0.125], [0.000, 0.000, 0.500], [0.000, 0.500, 0.750], [0.500, 0.000, 0.250], [0.500, 0.500, 0.000], [0.000, 0.000, 0.000], [0.000, 0.500, 0.250], [0.500, 0.000, 0.750], [0.500, 0.500, 0.500]]
}

No. 4
{
  "formula": "Sr2FeSe",
  "functional": "PBE-GGA",
  "state": "relaxed",
  "raw_formation_energy_kj_per_mol_atoms": -20.1,
  "vol_a3_per_fu": 118.7,
  "final_energy_ev_per_atom": -4.0358,
  "cell": [[4.397, 0.000, 0.000], [0.000, 4.397, 0.000], [0.000, 0.000, 12.277]],
  "species": ["Sr", "Sr", "Sr", "Sr", "Fe", "Fe", "Se", "Se"],
  "fractional_positions": [[0.000, 0.000, 0.000], [0.000, 0.500, 0.250], [0.500, 0.000, 0.750], [0.500, 0.500, 0.500], [0.000, 0.500, 0.750], [0.500, 0.000, 0.250], [0.000, 0.000, 0.500], [0.500, 0.500, 0.000]]
}

No. 5
{
  "formula": "Sr3Fe5Se12",
  "functional": "PBE-GGA",
  "state": "relaxed",
  "raw_formation_energy_kj_per_mol_atoms": -58.9,
  "vol_a3_per_fu": 492.6,
  "final_energy_ev_per_atom": -5.0688,
  "cell": [[-7.898, 7.898, 7.898], [7.898, -7.898, 7.898], [7.898, 7.898, -7.898]],
  "species": ["Sr", "Sr", "Sr", "Sr", "Sr", "Sr", "Sr", "Sr", "Sr", "Sr", "Sr", "Sr", "Fe", "Fe", "Fe", "Fe", "Fe", "Fe", "Fe", "Fe", "Fe", "Fe", "Fe", "Fe", "Fe", "Fe", "Fe", "Fe", "Fe", "Fe", "Fe", "Fe", "Se", "Se", "Se", "Se", "Se", "Se", "Se", "Se", "Se", "Se", "Se", "Se", "Se", "Se", "Se", "Se", "Se", "Se", "Se", "Se", "Se", "Se", "Se", "Se", "Se", "Se", "Se", "Se", "Se", "Se", "Se", "Se", "Se", "Se", "Se", "Se", "Se", "Se", "Se", "Se", "Se", "Se", "Se", "Se", "Se", "Se", "Se", "Se"],
  "fractional_positions": [[0.125, 0.250, 0.375], [0.125, 0.375, 0.750], [0.250, 0.375, 0.125], [0.250, 0.875, 0.625], [0.375, 0.125, 0.250], [0.375, 0.750, 0.125], [0.625, 0.250, 0.875], [0.625, 0.875, 0.750], [0.750, 0.125, 0.375], [0.750, 0.625, 0.875], [0.875, 0.625, 0.250], [0.875, 0.750, 0.625], [0.000, 0.000, 0.000], [0.000, 0.000, 0.500], [0.000, 0.500, 0.000], [0.000, 0.500, 0.500], [0.125, 0.750, 0.875], [0.125, 0.875, 0.250], [0.250, 0.125, 0.875], [0.250, 0.625, 0.375], [0.375, 0.250, 0.625], [0.375, 0.625, 0.750], [0.500, 0.000, 0.000], [0.500, 0.000, 0.500], [0.500, 0.500, 0.000], [0.500, 0.500, 0.500], [0.625, 0.375, 0.250], [0.625, 0.750, 0.375], [0.750, 0.375, 0.625], [0.750, 0.875, 0.125], [0.875, 0.125, 0.750], [0.875, 0.250, 0.125], [0.015, 0.194, 0.107], [0.015, 0.321, 0.908], [0.087, 0.694, 0.679], [0.087, 0.893, 0.408], [0.092, 0.607, 0.413], [0.092, 0.985, 0.679], [0.107, 0.015, 0.194], [0.107, 0.592, 0.913], [0.179, 0.194, 0.587], [0.179, 0.485, 0.592], [0.194, 0.107, 0.015], [0.194, 0.587, 0.179], [0.306, 0.321, 0.913], [0.306, 0.485, 0.393], [0.321, 0.908, 0.015], [0.321, 0.913, 0.306], [0.393, 0.306, 0.485], [0.393, 0.587, 0.908], [0.408, 0.087, 0.893], [0.408, 0.821, 0.515], [0.413, 0.092, 0.607], [0.413, 0.821, 0.806], [0.485, 0.393, 0.306], [0.485, 0.592, 0.179], [0.515, 0.408, 0.821], [0.515, 0.607, 0.694], [0.587, 0.179, 0.194], [0.587, 0.908, 0.393], [0.592, 0.179, 0.485], [0.592, 0.913, 0.107], [0.607, 0.413, 0.092], [0.607, 0.694, 0.515], [0.679, 0.087, 0.694], [0.679, 0.092, 0.985], [0.694, 0.515, 0.607], [0.694, 0.679, 0.087], [0.806, 0.413, 0.821], [0.806, 0.893, 0.985], [0.821, 0.515, 0.408], [0.821, 0.806, 0.413], [0.893, 0.408, 0.087], [0.893, 0.985, 0.806], [0.908, 0.015, 0.321], [0.908, 0.393, 0.587], [0.913, 0.107, 0.592], [0.913, 0.306, 0.321], [0.985, 0.679, 0.092], [0.985, 0.806, 0.893]]
}

No. 6
{
  "formula": "Sr2TaFeSe",
  "functional": "PBE-GGA",
  "state": "relaxed",
  "raw_formation_energy_kj_per_mol_atoms": 64.1,
  "vol_a3_per_fu": 159.7,
  "final_energy_ev_per_atom": -4.7687,
  "cell": [[6.111, 0.000, 0.000], [0.000, 6.111, 0.000], [0.000, 0.000, 4.276]],
  "species": ["Sr", "Sr", "Ta", "Fe", "Se"],
  "fractional_positions": [[0.000, 0.500, 0.000], [0.500, 0.000, 0.000], [0.000, 0.000, 0.000], [0.000, 0.000, 0.500], [0.500, 0.500, 0.500]]
}

No. 7
{
  "formula": "SrTl2FeSe",
  "functional": "PBE-GGA",
  "state": "relaxed",
  "raw_formation_energy_kj_per_mol_atoms": -14.5,
  "vol_a3_per_fu": 136.7,
  "final_energy_ev_per_atom": -3.8222,
  "cell": [[5.298, 0.000, 0.000], [0.000, 5.298, 0.000], [0.000, 0.000, 4.870]],
  "species": ["Sr", "Tl", "Tl", "Fe", "Se"],
  "fractional_positions": [[0.000, 0.000, 0.000], [0.000, 0.500, 0.500], [0.500, 0.000, 0.500], [0.500, 0.500, 0.500], [0.500, 0.500, 0.000]]
}

No. 8
{
  "formula": "SrV2FeSe",
  "functional": "PBE-GGA",
  "state": "relaxed",
  "raw_formation_energy_kj_per_mol_atoms": 67.4,
  "vol_a3_per_fu": 98.0,
  "final_energy_ev_per_atom": -5.6745,
  "cell": [[4.657, 0.000, 0.000], [0.000, 4.657, 0.000], [0.000, 0.000, 4.517]],
  "species": ["Sr", "V", "V", "Fe", "Se"],
  "fractional_positions": [[0.000, 0.000, 0.000], [0.000, 0.500, 0.500], [0.500, 0.000, 0.500], [0.500, 0.500, 0.000], [0.500, 0.500, 0.500]]
}

No. 9
{
  "formula": "TaFe3Se",
  "functional": "PBE-GGA",
  "state": "relaxed",
  "raw_formation_energy_kj_per_mol_atoms": 77.5,
  "relative_energy_ev_per_fu": 0.00,
  "vol_a3_per_fu": 78.2,
  "final_energy_ev_per_atom": -7.3413,
  "cell": [[4.275, 0.000, 0.000], [0.000, 4.275, 0.000], [0.000, 0.000, 4.275]],
  "species": ["Ta", "Fe", "Fe", "Fe", "Se"],
  "fractional_positions": [[0.000, 0.000, 0.000], [0.000, 0.500, 0.500], [0.500, 0.000, 0.500], [0.500, 0.500, 0.000], [0.500, 0.500, 0.500]]
}

No. 10
{
  "formula": "Ta3FeSe",
  "functional": "PBE-GGA",
  "state": "relaxed",
  "raw_formation_energy_kj_per_mol_atoms": 132.7,
  "relative_energy_ev_per_fu": 3.04,
  "vol_a3_per_fu": 101.0,
  "final_energy_ev_per_atom": -8.1255,
  "cell": [[4.657, 0.000, 0.000], [0.000, 4.657, 0.000], [0.000, 0.000, 4.657]],
  "species": ["Ta", "Ta", "Ta", "Fe", "Se"],
  "fractional_positions": [[0.000, 0.000, 0.500], [0.000, 0.500, 0.000], [0.500, 0.000, 0.000], [0.500, 0.500, 0.500], [0.000, 0.000, 0.000]]
}

No. 11
{
  "formula": "TaFeSe4",
  "functional": "PBE-GGA",
  "state": "relaxed",
  "raw_formation_energy_kj_per_mol_atoms": 112.2,
  "vol_a3_per_fu": 117.8,
  "final_energy_ev_per_atom": -4.5460,
  "cell": [[0.000, 3.891, 3.891], [3.891, 0.000, 3.891], [3.891, 3.891, 0.000]],
  "species": ["Ta", "Fe", "Se", "Se", "Se", "Se"],
  "fractional_positions": [[0.000, 0.000, 0.000], [0.750, 0.750, 0.750], [0.375, 0.375, 0.375], [0.375, 0.375, 0.875], [0.375, 0.875, 0.375], [0.875, 0.375, 0.375]]
}

No. 12
{
  "formula": "Ta3FeSe",
  "functional": "PBE-GGA",
  "state": "relaxed",
  "raw_formation_energy_kj_per_mol_atoms": 74.1,
  "relative_energy_ev_per_fu": 0.00,
  "vol_a3_per_fu": 98.2,
  "final_energy_ev_per_atom": -8.7331,
  "cell": [[4.614, 0.000, 0.000], [0.000, 4.614, 0.000], [0.000, 0.000, 4.614]],
  "species": ["Ta", "Ta", "Ta", "Fe", "Se"],
  "fractional_positions": [[0.000, 0.000, 0.500], [0.000, 0.500, 0.000], [0.500, 0.000, 0.000], [0.000, 0.000, 0.000], [0.500, 0.500, 0.500]]
}